DFT (GGA-PBE) results for AsH2F after structural relaxation. Values from VASP.

SG: R-3m (166)
Magnetic moment in μB per cell: 0.0
VASP energy in eV for the cell shown: -13.48
Energy relative to the lowest polymorph listed for this composition in meV/atom: 513

Cell and atoms, written as Quantum ESPRESSO input:
```
&SYSTEM
  ibrav = 0, nat = 4, ntyp = 3
/
ATOMIC_SPECIES
H 1.01 H.upf
As 74.92 As.upf
F 19.00 F.upf
CELL_PARAMETERS angstrom
2.932 0.000 0.000
1.466 2.540 0.000
1.466 0.847 5.460
ATOMIC_POSITIONS crystal
H 0.070 0.070 0.789
H 0.930 0.930 0.211
As 0.500 0.500 0.500
F 0.000 0.000 0.000
```